w) Co2MoBr: optimized geometry, PBE.

Its crystal system is tetragonal.

a = 3.1730 Å, b = 3.1730 Å, c = 5.9515 Å
α = 90.00°, β = 90.00°, γ = 90.00°
Fractional coordinates of all 4 atoms:
Co 0.0000 0.0000 0.2018
Co 0.0000 0.0000 0.7982
Mo 0.5000 0.5000 0.0000
Br 0.5000 0.5000 0.5000



x) Co2MoBr: optimized geometry, PBE.

Its crystal system is orthorhombic.

a = 2.8983 Å, b = 4.2935 Å, c = 4.4943 Å
α = 90.00°, β = 90.00°, γ = 90.00°
Fractional coordinates of all 4 atoms:
Co 0.0000 0.0000 0.0000
Co 0.5000 0.0000 0.5000
Mo 0.0000 0.5000 0.5000
Br 0.5000 0.5000 0.0000



Top of the stability list: w), leading by 292 meV per atom.



w) CoMo2Br: optimized geometry, PBE.

Its crystal system is tetragonal.

a = 3.7237 Å, b = 3.7237 Å, c = 8.8921 Å
α = 90.00°, β = 90.00°, γ = 90.00°
Fractional coordinates of all 8 atoms:
Co 0.0000 0.0000 0.0000
Co 0.5000 0.5000 0.5000
Mo 0.0000 0.5000 0.2500
Mo 0.0000 0.5000 0.7500
Mo 0.5000 0.0000 0.2500
Mo 0.5000 0.0000 0.7500
Br 0.0000 0.0000 0.5000
Br 0.5000 0.5000 0.0000



x) CoMo2Br: optimized geometry, PBE.

Its crystal system is orthorhombic.

a = 3.0446 Å, b = 4.3876 Å, c = 9.2206 Å
α = 90.00°, β = 90.00°, γ = 90.00°
Fractional coordinates of all 8 atoms:
Co 0.0000 0.0000 0.0000
Co 0.5000 0.5000 0.5000
Mo 0.0000 0.5000 0.2390
Mo 0.0000 0.5000 0.7610
Mo 0.5000 0.0000 0.2610
Mo 0.5000 0.0000 0.7390
Br 0.0000 0.0000 0.5000
Br 0.5000 0.5000 0.0000



y) CoMo2Br: optimized geometry, PBE.

Its crystal system is tetragonal.

a = 3.1554 Å, b = 3.1554 Å, c = 6.4449 Å
α = 90.00°, β = 90.00°, γ = 90.00°
Fractional coordinates of all 4 atoms:
Co 0.0000 0.0000 0.0000
Mo 0.0000 0.0000 0.4240
Mo 0.5000 0.5000 0.1834
Br 0.5000 0.5000 0.7213



z) CoMo2Br: optimized geometry, PBE.

Its crystal system is tetragonal.

a = 2.9815 Å, b = 2.9815 Å, c = 6.7847 Å
α = 90.00°, β = 90.00°, γ = 90.00°
Fractional coordinates of all 4 atoms:
Co 0.0000 0.0000 0.0000
Mo 0.5000 0.5000 0.2266
Mo 0.5000 0.5000 0.7734
Br 0.0000 0.0000 0.5000



Top of the stability list: y), leading by 66 meV per atom.



w) CoMo3Br: optimized geometry, PBE.

Its crystal system is cubic.

a = 4.5495 Å, b = 4.5495 Å, c = 4.5495 Å
α = 90.00°, β = 90.00°, γ = 90.00°
Fractional coordinates of all 5 atoms:
Co 0.0000 0.0000 0.0000
Mo 0.0000 0.5000 0.5000
Mo 0.5000 0.0000 0.5000
Mo 0.5000 0.5000 0.0000
Br 0.5000 0.5000 0.5000



x) CoMo3Br: optimized geometry, PBE.

Its crystal system is cubic.

a = 4.5410 Å, b = 4.5410 Å, c = 4.5410 Å
α = 90.00°, β = 90.00°, γ = 90.00°
Fractional coordinates of all 5 atoms:
Co 0.0000 0.0000 0.0000
Mo 0.0000 0.0000 0.5000
Mo 0.0000 0.5000 0.0000
Mo 0.5000 0.0000 0.0000
Br 0.5000 0.5000 0.5000



Top of the stability list: x), leading by 466 meV per atom.



w) CoMoSeBr2: optimized geometry, PBE.

Its crystal system is tetragonal.

a = 5.7507 Å, b = 5.7507 Å, c = 4.3276 Å
α = 90.00°, β = 90.00°, γ = 90.00°
Fractional coordinates of all 5 atoms:
Co 0.0000 0.0000 0.0000
Mo 0.5000 0.5000 0.0000
Se 0.0000 0.0000 0.5000
Br 0.0000 0.5000 0.5000
Br 0.5000 0.0000 0.5000



x) CoMoSeBr2: optimized geometry, PBE.

Its crystal system is tetragonal.

a = 4.8587 Å, b = 4.8587 Å, c = 4.8051 Å
α = 90.00°, β = 90.00°, γ = 90.00°
Fractional coordinates of all 5 atoms:
Co 0.0000 0.0000 0.0000
Mo 0.5000 0.5000 0.5000
Se 0.0000 0.0000 0.5000
Br 0.0000 0.5000 0.0000
Br 0.5000 0.0000 0.0000



Top of the stability list: x), leading by 418 meV per atom.



w) CoBrN: optimized geometry, PBE.

Its crystal system is monoclinic.

a = 5.2523 Å, b = 3.0357 Å, c = 6.5854 Å
α = 90.00°, β = 91.89°, γ = 90.00°
Fractional coordinates of all 6 atoms:
Co 0.0000 0.0000 0.0000
Co 0.5000 0.5000 0.0000
Br 0.4852 0.5000 0.6403
Br 0.9852 0.0000 0.6403
N 0.1699 0.5000 0.0695
N 0.6699 0.0000 0.0695



x) CoBrN: optimized geometry, PBE.

Its crystal system is monoclinic.

a = 3.1637 Å, b = 3.7511 Å, c = 5.4154 Å
α = 90.00°, β = 104.38°, γ = 90.00°
Fractional coordinates of all 3 atoms:
Co 0.0000 0.0000 0.0000
Br 0.8860 0.5000 0.7323
N 0.5519 0.0000 0.1223



Top of the stability list: w), leading by 67 meV per atom.



w) CoSeBr2N: optimized geometry, PBE.

Its crystal system is tetragonal.

a = 4.8632 Å, b = 4.8632 Å, c = 4.4629 Å
α = 90.00°, β = 90.00°, γ = 90.00°
Fractional coordinates of all 5 atoms:
Co 0.0000 0.0000 0.0000
Se 0.0000 0.0000 0.5000
Br 0.0000 0.5000 0.0000
Br 0.5000 0.0000 0.0000
N 0.5000 0.5000 0.5000



x) CoSeBr2N: optimized geometry, PBE.

Its crystal system is tetragonal.

a = 4.4902 Å, b = 4.4902 Å, c = 4.7126 Å
α = 90.00°, β = 90.00°, γ = 90.00°
Fractional coordinates of all 5 atoms:
Co 0.0000 0.0000 0.0000
Se 0.5000 0.5000 0.0000
Br 0.0000 0.5000 0.5000
Br 0.5000 0.0000 0.5000
N 0.5000 0.5000 0.5000



Top of the stability list: x), leading by 141 meV per atom.



w) CoTeBrN2: optimized geometry, PBE.

Its crystal system is tetragonal.

a = 3.8914 Å, b = 3.8914 Å, c = 5.4582 Å
α = 90.00°, β = 90.00°, γ = 90.00°
Fractional coordinates of all 5 atoms:
Co 0.0000 0.0000 0.0000
Te 0.0000 0.0000 0.5000
Br 0.5000 0.5000 0.5000
N 0.0000 0.5000 0.0000
N 0.5000 0.0000 0.0000



x) CoTeBrN2: optimized geometry, PBE.

Its crystal system is tetragonal.

a = 3.8097 Å, b = 3.8097 Å, c = 7.9250 Å
α = 90.00°, β = 90.00°, γ = 90.00°
Fractional coordinates of all 5 atoms:
Co 0.0000 0.0000 0.0000
Te 0.5000 0.5000 0.0000
Br 0.5000 0.5000 0.5000
N 0.0000 0.5000 0.5000
N 0.5000 0.0000 0.5000



Top of the stability list: w), leading by 992 meV per atom.



w) NaCoBr2: optimized geometry, PBE.

Its crystal system is cubic.

a = 6.9916 Å, b = 6.9916 Å, c = 6.9916 Å
α = 90.00°, β = 90.00°, γ = 90.00°
Fractional coordinates of all 16 atoms:
Na 0.0000 0.0000 0.0000
Na 0.0000 0.5000 0.5000
Na 0.5000 0.0000 0.5000
Na 0.5000 0.5000 0.0000
Co 0.0000 0.0000 0.5000
Co 0.0000 0.5000 0.0000
Co 0.5000 0.0000 0.0000
Co 0.5000 0.5000 0.5000
Br 0.2500 0.2500 0.2500
Br 0.2500 0.2500 0.7500
Br 0.2500 0.7500 0.2500
Br 0.2500 0.7500 0.7500
Br 0.7500 0.2500 0.2500
Br 0.7500 0.2500 0.7500
Br 0.7500 0.7500 0.2500
Br 0.7500 0.7500 0.7500



x) NaCoBr2: optimized geometry, PBE.

Its crystal system is trigonal.

a = 3.8793 Å, b = 3.8793 Å, c = 25.0238 Å
α = 90.00°, β = 90.00°, γ = 120.00°
Fractional coordinates of all 12 atoms:
Na 0.0000 0.0000 0.0000
Na 0.3333 0.6667 0.6667
Na 0.6667 0.3333 0.3333
Co 0.0000 0.0000 0.5000
Co 0.3333 0.6667 0.1667
Co 0.6667 0.3333 0.8333
Br 0.0000 0.0000 0.1113
Br 0.0000 0.0000 0.8887
Br 0.3333 0.6667 0.5553
Br 0.3333 0.6667 0.7780
Br 0.6667 0.3333 0.2220
Br 0.6667 0.3333 0.4447



y) NaCoBr2: optimized geometry, PBE.

Its crystal system is tetragonal.

a = 6.2728 Å, b = 6.2728 Å, c = 11.4263 Å
α = 90.00°, β = 90.00°, γ = 90.00°
Fractional coordinates of all 16 atoms:
Na 0.0000 0.0000 0.0000
Na 0.0000 0.5000 0.2500
Na 0.5000 0.0000 0.7500
Na 0.5000 0.5000 0.5000
Co 0.0000 0.0000 0.5000
Co 0.0000 0.5000 0.7500
Co 0.5000 0.0000 0.2500
Co 0.5000 0.5000 0.0000
Br 0.1933 0.2500 0.6250
Br 0.2500 0.6933 0.8750
Br 0.2500 0.8067 0.3750
Br 0.3067 0.2500 0.1250
Br 0.6933 0.7500 0.1250
Br 0.7500 0.1933 0.3750
Br 0.7500 0.3067 0.8750
Br 0.8067 0.7500 0.6250



Top of the stability list: y), leading by 181 meV per atom.



w) NaCo2Br: optimized geometry, PBE.

Its crystal system is tetragonal.

a = 4.5620 Å, b = 4.5620 Å, c = 16.8502 Å
α = 90.00°, β = 90.00°, γ = 90.00°
Fractional coordinates of all 16 atoms:
Na 0.0000 0.0000 0.0000
Na 0.0000 0.5000 0.2500
Na 0.5000 0.0000 0.7500
Na 0.5000 0.5000 0.5000
Co 0.0210 0.2500 0.6250
Co 0.2500 0.5210 0.8750
Co 0.2500 0.9790 0.3750
Co 0.4790 0.2500 0.1250
Co 0.5210 0.7500 0.1250
Co 0.7500 0.0210 0.3750
Co 0.7500 0.4790 0.8750
Co 0.9790 0.7500 0.6250
Br 0.0000 0.0000 0.5000
Br 0.0000 0.5000 0.7500
Br 0.5000 0.0000 0.2500
Br 0.5000 0.5000 0.0000



x) NaCo2Br: optimized geometry, PBE.

Its crystal system is cubic.

a = 6.3154 Å, b = 6.3154 Å, c = 6.3154 Å
α = 90.00°, β = 90.00°, γ = 90.00°
Fractional coordinates of all 16 atoms:
Na 0.0000 0.0000 0.0000
Na 0.0000 0.5000 0.5000
Na 0.5000 0.0000 0.5000
Na 0.5000 0.5000 0.0000
Co 0.2500 0.2500 0.2500
Co 0.2500 0.2500 0.7500
Co 0.2500 0.7500 0.2500
Co 0.2500 0.7500 0.7500
Co 0.7500 0.2500 0.2500
Co 0.7500 0.2500 0.7500
Co 0.7500 0.7500 0.2500
Co 0.7500 0.7500 0.7500
Br 0.0000 0.0000 0.5000
Br 0.0000 0.5000 0.0000
Br 0.5000 0.0000 0.0000
Br 0.5000 0.5000 0.5000



Top of the stability list: w), leading by 358 meV per atom.



w) NbCo2Br2: optimized geometry, PBE.

Its crystal system is tetragonal.

a = 7.0932 Å, b = 7.0932 Å, c = 3.0967 Å
α = 90.00°, β = 90.00°, γ = 90.00°
Fractional coordinates of all 10 atoms:
Nb 0.0000 0.0000 0.0000
Nb 0.5000 0.5000 0.0000
Co 0.1481 0.3519 0.5000
Co 0.3519 0.8519 0.5000
Co 0.6481 0.1481 0.5000
Co 0.8519 0.6481 0.5000
Br 0.1615 0.6615 0.0000
Br 0.3385 0.1615 0.0000
Br 0.6615 0.8385 0.0000
Br 0.8385 0.3385 0.0000



x) NbCo2Br2: optimized geometry, PBE.

Its crystal system is tetragonal.

a = 3.2083 Å, b = 3.2083 Å, c = 20.6312 Å
α = 90.00°, β = 90.00°, γ = 90.00°
Fractional coordinates of all 10 atoms:
Nb 0.0000 0.0000 0.0000
Nb 0.5000 0.5000 0.5000
Co 0.0000 0.5000 0.2500
Co 0.0000 0.5000 0.7500
Co 0.5000 0.0000 0.2500
Co 0.5000 0.0000 0.7500
Br 0.0000 0.0000 0.4206
Br 0.0000 0.0000 0.5794
Br 0.5000 0.5000 0.0794
Br 0.5000 0.5000 0.9206



Top of the stability list: x), leading by 299 meV per atom.



w) CoNiBr: optimized geometry, PBE.

Its crystal system is cubic.

a = 5.7517 Å, b = 5.7517 Å, c = 5.7517 Å
α = 90.00°, β = 90.00°, γ = 90.00°
Fractional coordinates of all 12 atoms:
Co 0.0000 0.0000 0.0000
Co 0.0000 0.5000 0.5000
Co 0.5000 0.0000 0.5000
Co 0.5000 0.5000 0.0000
Ni 0.2500 0.2500 0.2500
Ni 0.2500 0.7500 0.7500
Ni 0.7500 0.2500 0.7500
Ni 0.7500 0.7500 0.2500
Br 0.2500 0.2500 0.7500
Br 0.2500 0.7500 0.2500
Br 0.7500 0.2500 0.2500
Br 0.7500 0.7500 0.7500



x) CoNiBr: optimized geometry, PBE.

Its crystal system is tetragonal.

a = 3.0412 Å, b = 3.0412 Å, c = 9.8292 Å
α = 90.00°, β = 90.00°, γ = 90.00°
Fractional coordinates of all 6 atoms:
Co 0.0000 0.0000 0.0000
Co 0.5000 0.5000 0.5000
Ni 0.0000 0.0000 0.3669
Ni 0.5000 0.5000 0.8669
Br 0.0000 0.0000 0.6757
Br 0.5000 0.5000 0.1757



Top of the stability list: x), leading by 6 meV per atom.



w) CoNiBr3: optimized geometry, PBE.

Its crystal system is cubic.

a = 4.9196 Å, b = 4.9196 Å, c = 4.9196 Å
α = 90.00°, β = 90.00°, γ = 90.00°
Fractional coordinates of all 5 atoms:
Co 0.0000 0.0000 0.0000
Ni 0.5000 0.5000 0.5000
Br 0.0000 0.5000 0.5000
Br 0.5000 0.0000 0.5000
Br 0.5000 0.5000 0.0000



x) CoNiBr3: optimized geometry, PBE.

Its crystal system is cubic.

a = 4.9271 Å, b = 4.9271 Å, c = 4.9271 Å
α = 90.00°, β = 90.00°, γ = 90.00°
Fractional coordinates of all 5 atoms:
Co 0.0000 0.0000 0.0000
Ni 0.5000 0.5000 0.5000
Br 0.0000 0.0000 0.5000
Br 0.0000 0.5000 0.0000
Br 0.5000 0.0000 0.0000



Top of the stability list: w), leading by 51 meV per atom.